Computed, not measured: an optimized crystal structure of Be3WCl at the PBE-GGA level of DFT.

Output
Its magnetic moment is 2.930 μB per formula unit. The density of states at the Fermi level comes out at 0.63 states/eV/atom. Its formation energy from raw total energies is 1.718 eV per atom. The value obtained for the final energy is -3.48 eV per atom.

a b c (Å): 4.619 4.619 4.619
angles (deg): 90.00 90.00 90.00
Last column: magnetic moment on the atom in μB.
Fractional coordinates of all 5 atoms:
Be (0.000, 0.500, 0.000)  0.06
Be (0.000, 0.000, 0.500)  0.02
Be (0.500, 0.000, 0.000)  0.13
W (0.000, 0.000, 0.000)  1.48
Cl (0.500, 0.500, 0.500)  0.26